No. 1
The following is a GGA-PBE calculation of crystalline NbGeW3 at its relaxed geometry, from the Alexandria database.

Lattice parameters (Å, degrees): 4.5780 4.5780 4.5780 90.00 90.00 90.00
Fractional positions:
Nb 0.0000 0.0000 0.0000
Ge 0.5000 0.5000 0.5000
W 0.0000 0.5000 0.5000
W 0.5000 0.0000 0.5000
W 0.5000 0.5000 0.0000

Values from the calculation:
- Density: 12.41 g cm⁻³
- Formation energy: 1497 meV/atom
- M_tot: 0.000 μB/f.u.
- Offset from the most stable computed form: 0 meV per atom

***

No. 2
The following is a GGA-PBE calculation of crystalline KLaTe2N at its relaxed geometry, from the Alexandria database.

Lattice parameters (Å, degrees): 6.7105 6.7105 4.0370 90.00 90.00 90.00
Fractional positions:
K 0.0000 0.0000 0.0000
La 0.5000 0.5000 0.5000
Te 0.0000 0.5000 0.5000
Te 0.5000 0.0000 0.5000
N 0.5000 0.5000 0.0000

Values from the calculation:
- Density: 4.09 g cm⁻³
- M_tot: 0.077 μB/f.u.
- Offset from the most stable computed form: 0 meV per atom
- Formation energy (no corrections): -0.3454 eV/atom

***

No. 3
The following is a GGA-PBE calculation of crystalline NiSb2Cl at its relaxed geometry, from the Alexandria database.

Lattice parameters (Å, degrees): 6.9513 4.0190 7.9892 90.00 107.87 90.00
Fractional positions:
Ni 0.0000 0.0000 0.0000
Ni 0.5000 0.5000 0.0000
Sb 0.1143 0.5000 0.8515
Sb 0.3857 0.0000 0.1485
Sb 0.6143 0.0000 0.8515
Sb 0.8857 0.5000 0.1485
Cl 0.0000 0.5000 0.5000
Cl 0.5000 0.0000 0.5000

Values from the calculation:
- Density: 5.28 g cm⁻³
- M_tot: 0.000 μB/f.u.
- Offset from the most stable computed form: 0 meV per atom
- Formation energy (no corrections): -0.3017 eV/atom

***

No. 4
The following is a GGA-PBE calculation of crystalline BaZn3Bi3 at its relaxed geometry, from the Alexandria database.

Lattice parameters (Å, degrees): 9.6033 9.6033 9.6033 48.23 48.23 48.23
Fractional positions:
Ba 0.1665 0.1665 0.1665
Ba 0.8335 0.8335 0.8335
Zn 0.0071 0.3671 0.7304
Zn 0.2696 0.9929 0.6328
Zn 0.3671 0.7304 0.0071
Zn 0.6328 0.2696 0.9929
Zn 0.7304 0.0071 0.3671
Zn 0.9929 0.6328 0.2696
Bi 0.1054 0.7141 0.4109
Bi 0.2859 0.5891 0.8946
Bi 0.4109 0.1054 0.7141
Bi 0.5891 0.8946 0.2859
Bi 0.7141 0.4109 0.1054
Bi 0.8946 0.2859 0.5891

Values from the calculation:
- Density: 7.06 g cm⁻³
- Formation energy: -171 meV/atom
- M_tot: 0.000 μB/f.u.
- Offset from the most stable computed form: 0 meV per atom

***

Question: What is the density in the second record?
Answer: 4.09 g cm⁻³